GdScAlZn: optimized geometry, GGA-PBE.

Results
- Final energy: -6.73 eV per atom
- E_form: -1.496 eV per formula unit
- Total magnetization: 7.351 μB per formula unit
- Space-group type: F-43m

Cell and atoms, written as POSCAR:
```
GdScAlZn
1.0
0.0000 3.5048 3.5048
3.5048 0.0000 3.5048
3.5048 3.5048 0.0000
Gd Sc Al Zn
1 1 1 1
Direct
0.0000 0.0000 0.0000
0.5000 0.5000 0.5000
0.2500 0.2500 0.2500
0.7500 0.7500 0.7500
```